1.
Here is a relaxed structure of LaMgAlPt from OQMD. Energies are from GGA-PBE.

Computed properties:
**SG**: F-43m, No. 216
**Calculated total energy**: -0.168 hartree per atom
**Energy relative to the lowest polymorph listed for this composition**: 0.318 eV/atom

Cell lengths 4.8592, 4.8592, 4.8592 Å; angles 60.00, 60.00, 60.00 degrees
Fractional positions:
Al  0.2500  0.2500  0.2500
La  0.0000  0.0000  0.0000
Mg  0.7500  0.7500  0.7500
Pt  0.5000  0.5000  0.5000


2.
Here is a relaxed structure of Ni10Bi from OQMD. Energies are from GGA-PBE.

Computed properties:
**SG**: C2/m, No. 12
**Calculated total energy**: -0.199 hartree per atom

Cell lengths 4.2847, 4.2847, 28.2263 Å; angles 90.04, 90.04, 48.54 degrees
Last column: magnetic moment on the atom in μB.
Fractional positions:
Bi  0.8459  0.8459  0.3074  -0.01
Bi  0.1541  0.1541  0.6926  -0.01
Ni  0.8501  0.8501  0.0139  0.62
Ni  0.5504  0.5504  0.0415  0.63
Ni  0.2504  0.2504  0.0692  0.64
Ni  0.9505  0.9505  0.0969  0.62
Ni  0.6506  0.6506  0.1246  0.61
Ni  0.3504  0.3504  0.1524  0.62
Ni  0.0503  0.0503  0.1801  0.54
Ni  0.7495  0.7495  0.2078  0.51
Ni  0.4514  0.4514  0.2363  0.29
Ni  0.1466  0.1466  0.2634  0.14
Ni  0.8534  0.8534  0.7366  0.14
Ni  0.5486  0.5486  0.7637  0.29
Ni  0.2505  0.2505  0.7922  0.51
Ni  0.9497  0.9497  0.8199  0.54
Ni  0.6496  0.6496  0.8476  0.62
Ni  0.3494  0.3494  0.8754  0.61
Ni  0.0495  0.0495  0.9031  0.62
Ni  0.7496  0.7496  0.9308  0.64
Ni  0.4496  0.4496  0.9585  0.63
Ni  0.1499  0.1499  0.9861  0.62


3.
Here is a relaxed structure of ZnCu2SiS4 from OQMD. Energies are from GGA-PBE.

Computed properties:
**SG**: Pc, No. 7
**Calculated total energy**: -0.161 hartree per atom

Cell lengths 6.1400, 6.4022, 9.6307 Å; angles 90.00, 129.59, 90.00 degrees
Fractional positions:
Cu  0.6441  0.1722  0.2227
Cu  0.8904  0.6529  0.4745
Cu  0.6441  0.8278  0.7227
Cu  0.8904  0.3471  0.9745
S  0.5175  0.8302  0.2168
S  0.0286  0.1737  0.2345
S  0.7362  0.3238  0.4709
S  0.2706  0.6416  0.4803
S  0.5175  0.1698  0.7168
S  0.0286  0.8263  0.7345
S  0.7362  0.6762  0.9709
S  0.2706  0.3584  0.9803
Si  0.3892  0.3257  0.4757
Si  0.3892  0.6743  0.9757
Zn  0.1460  0.8248  0.2289
Zn  0.1460  0.1752  0.7289


4.
Here is a relaxed structure of BAuNO from OQMD. Energies are from GGA-PBE.

Computed properties:
**SG**: P4/nmm, No. 129
**Calculated total energy**: -0.190 hartree per atom
**Energy relative to the lowest polymorph listed for this composition**: 1.122 eV/atom

Cell lengths 2.8738, 2.8738, 9.9993 Å; angles 90.00, 90.00, 90.00 degrees
Fractional positions:
Au  0.7500  0.7500  0.2021
Au  0.2500  0.2500  0.7979
B  0.7500  0.2500  0.5000
B  0.2500  0.7500  0.5000
N  0.7500  0.7500  0.4308
N  0.2500  0.2500  0.5691
O  0.7500  0.2500  0.0000
O  0.2500  0.7500  0.0000


5.
Here is a relaxed structure of K2YPdBr6 from OQMD. Energies are from GGA-PBE.

Computed properties:
**SG**: Fm-3m, No. 225
**Calculated total energy**: -0.138 hartree per atom

Cell lengths 7.8282, 7.8282, 7.8282 Å; angles 60.00, 60.00, 60.00 degrees
Last column: magnetic moment on the atom in μB.
Fractional positions:
Br  0.2482  0.7518  0.2482  0.04
Br  0.7518  0.2482  0.2482  0.03
Br  0.7518  0.7518  0.2482  0.03
Br  0.2482  0.7518  0.7518  0.03
Br  0.2482  0.2482  0.7518  0.03
Br  0.7518  0.2482  0.7518  0.04
K  0.2500  0.2500  0.2500  0.00
K  0.7500  0.7500  0.7500  0.00
Pd  0.0000  0.0000  0.0000  0.69
Y  0.5000  0.5000  0.5000  0.03


6.
Here is a relaxed structure of InAgS2 from OQMD. Energies are from GGA-PBE.

Computed properties:
**SG**: I-42d, No. 122
**Calculated total energy**: -0.143 hartree per atom

Cell lengths 7.0850, 7.0850, 7.0850 Å; angles 130.38, 130.38, 72.79 degrees
Fractional positions:
Ag  0.0000  0.0000  0.0000
Ag  0.7500  0.2500  0.5000
In  0.5000  0.5000  0.0000
In  0.2500  0.7500  0.5000
S  0.1350  0.6250  0.0100
S  0.8750  0.8650  0.4900
S  0.3750  0.3850  0.5100
S  0.6150  0.1250  0.9900


7.
Here is a relaxed structure of Na2TlNi from OQMD. Energies are from GGA-PBE.

Computed properties:
**SG**: F-43m, No. 216
**Calculated total energy**: -0.089 hartree per atom

Cell lengths 4.8338, 4.8338, 4.8338 Å; angles 60.00, 60.00, 60.00 degrees
Fractional positions:
Na  0.0000  0.0000  0.0000
Na  0.7500  0.7500  0.7500
Ni  0.2500  0.2500  0.2500
Tl  0.5000  0.5000  0.5000


8.
Here is a relaxed structure of Y2TmZn3Pt3 from OQMD. Energies are from GGA-PBE.

Computed properties:
**DFT formation energy**: -0.972 eV per atom
**SG**: Amm2, No. 38
**Calculated total energy**: -0.196 hartree per atom

Cell lengths 3.8916, 7.2307, 7.2307 Å; angles 119.67, 90.00, 90.00 degrees
Fractional positions:
Pt  0.5000  0.6650  0.3388
Pt  0.5000  0.3388  0.6650
Pt  0.0000  0.9960  0.9960
Tm  0.0000  0.5978  0.5978
Y  0.0000  0.4050  0.0000
Y  0.0000  0.0000  0.4050
Zn  0.5000  0.2496  0.2496
Zn  0.5000  0.9994  0.7484
Zn  0.5000  0.7484  0.9994


9.
Here is a relaxed structure of Nd4CICl2F2 from OQMD. Energies are from GGA-PBE.

Computed properties:
**SG**: C2/m, No. 12
**Calculated total energy**: -0.209 hartree per atom

Cell lengths 8.1511, 8.1511, 8.8064 Å; angles 109.66, 109.66, 27.57 degrees
Fractional positions:
C  0.5000  0.5000  0.0000
Cl  0.1886  0.1886  0.3345
Cl  0.8114  0.8114  0.6655
F  0.8238  0.8238  0.0721
F  0.1762  0.1762  0.9279
I  0.5000  0.5000  0.5000
Nd  0.6651  0.6651  0.0983
Nd  0.9962  0.9962  0.1929
Nd  0.0038  0.0038  0.8071
Nd  0.3349  0.3349  0.9017


10.
Here is a relaxed structure of AcTmLu from OQMD. Energies are from GGA-PBE.

Computed properties:
**DFT formation energy**: 0.692 eV per atom
**SG**: F-43m, No. 216
**Calculated total energy**: -0.135 hartree per atom
**Energy relative to the lowest polymorph listed for this composition**: 0.000 eV/atom

Cell lengths 5.5702, 5.5702, 5.5702 Å; angles 60.00, 60.00, 60.00 degrees
Fractional positions:
Ac  0.2500  0.2500  0.2500
Lu  0.0000  0.0000  0.0000
Tm  0.7500  0.7500  0.7500


11.
Here is a relaxed structure of Ba2InAuO4 from OQMD. Energies are from GGA-PBE.

Computed properties:
**SG**: P4/mmm, No. 123
**Calculated total energy**: -0.204 hartree per atom

Cell lengths 4.1619, 4.1619, 8.5209 Å; angles 90.00, 90.00, 90.00 degrees
Fractional positions:
Au  0.0000  0.0000  0.5000
Ba  0.5000  0.5000  0.2271
Ba  0.5000  0.5000  0.7729
In  0.0000  0.0000  0.0000
O  0.5000  0.0000  0.0000
O  0.0000  0.5000  0.0000
O  0.0000  0.0000  0.2646
O  0.0000  0.0000  0.7354


12.
Here is a relaxed structure of NdYBi from OQMD. Energies are from GGA-PBE.

Computed properties:
**SG**: F-43m, No. 216
**Calculated total energy**: -0.202 hartree per atom

Cell lengths 5.2501, 5.2501, 5.2501 Å; angles 60.00, 60.00, 60.00 degrees
Fractional positions:
Bi  0.0000  0.0000  0.0000
Nd  0.2500  0.2500  0.2500
Y  0.7500  0.7500  0.7500


13.
Here is a relaxed structure of LiTmMg from OQMD. Energies are from GGA-PBE.

Computed properties:
**SG**: F-43m, No. 216
**Calculated total energy**: -0.083 hartree per atom
**Energy relative to the lowest polymorph listed for this composition**: 0.000 eV/atom

Cell lengths 4.8031, 4.8031, 4.8031 Å; angles 60.00, 60.00, 60.00 degrees
Fractional positions:
Li  0.0000  0.0000  0.0000
Mg  0.2500  0.2500  0.2500
Tm  0.7500  0.7500  0.7500


14.
Here is a relaxed structure of SbAu15 from OQMD. Energies are from GGA-PBE.

Computed properties:
**SG**: P2_1/m, No. 11
**Calculated total energy**: -0.120 hartree per atom
**Energy relative to the lowest polymorph listed for this composition**: 0.023 eV/atom

Cell lengths 5.7893, 4.0508, 33.1189 Å; angles 90.00, 90.28, 90.00 degrees
Fractional positions:
Au  0.3751  0.7500  0.0227
Au  0.8751  0.7500  0.0230
Au  0.1255  0.2500  0.0685
Au  0.6253  0.2500  0.0687
Au  0.3765  0.7500  0.1143
Au  0.8752  0.7500  0.1144
Au  0.1264  0.2500  0.1596
Au  0.6267  0.2500  0.1610
Au  0.3754  0.7500  0.2062
Au  0.8784  0.7500  0.2065
Au  0.1267  0.2500  0.2522
Au  0.6278  0.2500  0.2523
Au  0.3795  0.7500  0.3005
Au  0.8739  0.7500  0.3019
Au  0.1303  0.2500  0.3432
Au  0.8697  0.7500  0.6568
Au  0.1261  0.2500  0.6981
Au  0.6205  0.2500  0.6995
Au  0.3722  0.7500  0.7477
Au  0.8733  0.7500  0.7478
Au  0.1216  0.2500  0.7935
Au  0.6246  0.2500  0.7938
Au  0.3733  0.7500  0.8390
Au  0.8736  0.7500  0.8404
Au  0.1248  0.2500  0.8856
Au  0.6235  0.2500  0.8857
Au  0.3747  0.7500  0.9313
Au  0.8745  0.7500  0.9315
Au  0.1249  0.2500  0.9770
Au  0.6249  0.2500  0.9773
Sb  0.6279  0.2500  0.3473
Sb  0.3721  0.7500  0.6527


15.
Here is a relaxed structure of PrSmPO from OQMD. Energies are from GGA-PBE.

Computed properties:
**SG**: Pmc2_1, No. 26
**Calculated total energy**: -0.254 hartree per atom
**Energy relative to the lowest polymorph listed for this composition**: 0.080 eV/atom

Cell lengths 4.3159, 7.9396, 5.5868 Å; angles 90.00, 90.00, 90.00 degrees
Fractional positions:
O  0.0000  0.3303  0.4340
O  0.0000  0.6697  0.9340
P  0.5000  0.8511  0.4390
P  0.5000  0.1489  0.9390
Pr  0.0000  0.6343  0.4424
Pr  0.0000  0.3657  0.9424
Sm  0.5000  0.2032  0.4386
Sm  0.5000  0.7968  0.9386


16.
Here is a relaxed structure of Hf4GaC2S from OQMD. Energies are from GGA-PBE.

Computed properties:
**SG**: P-6m2, No. 187
**Calculated total energy**: -0.339 hartree per atom

Cell lengths 3.3325, 3.3325, 13.0270 Å; angles 90.00, 90.00, 120.00 degrees
Fractional positions:
C  0.3333  0.6667  0.2655
C  0.3333  0.6667  0.7345
Ga  0.0000  0.0000  0.0000
Hf  0.6667  0.3333  0.1718
Hf  0.0000  0.0000  0.3601
Hf  0.0000  0.0000  0.6399
Hf  0.6667  0.3333  0.8282
S  0.6667  0.3333  0.5000


17.
Here is a relaxed structure of ScZnAs2 from OQMD. Energies are from GGA-PBE.

Computed properties:
**SG**: F-43m, No. 216
**Calculated total energy**: -0.160 hartree per atom

Cell lengths 4.7503, 4.7503, 4.7503 Å; angles 60.00, 60.00, 60.00 degrees
Fractional positions:
As  0.0000  0.0000  0.0000
As  0.7500  0.7500  0.7500
Sc  0.5000  0.5000  0.5000
Zn  0.2500  0.2500  0.2500


18.
Here is a relaxed structure of Nd2SmCd4Si4 from OQMD. Energies are from GGA-PBE.

Computed properties:
**SG**: Immm, No. 71
**Calculated total energy**: -0.146 hartree per atom

Cell lengths 13.6042, 13.6042, 13.6042 Å; angles 162.19, 161.52, 25.78 degrees
Fractional positions:
Cd  0.2506  0.2506  0.0000
Cd  0.7494  0.7494  0.0000
Cd  0.9085  0.4085  0.5000
Cd  0.0915  0.5915  0.5000
Nd  0.6424  0.1424  0.5000
Nd  0.3576  0.8576  0.5000
Si  0.4563  0.4563  0.0000
Si  0.5437  0.5437  0.0000
Si  0.8138  0.3138  0.5000
Si  0.1862  0.6862  0.5000
Sm  0.0000  0.0000  0.0000


19.
Here is a relaxed structure of ThNbPd from OQMD. Energies are from GGA-PBE.

Computed properties:
**DFT formation energy**: 0.265 eV per atom
**SG**: F-43m, No. 216
**Calculated total energy**: -0.268 hartree per atom
**Energy relative to the lowest polymorph listed for this composition**: 0.000 eV/atom

Cell lengths 4.7259, 4.7259, 4.7259 Å; angles 60.00, 60.00, 60.00 degrees
Last column: magnetic moment on the atom in μB.
Fractional positions:
Nb  0.5000  0.5000  0.5000  1.18
Pd  0.2500  0.2500  0.2500  0.14
Th  0.0000  0.0000  0.0000  0.16


20.
Here is a relaxed structure of BaNi2Hg from OQMD. Energies are from GGA-PBE.

Computed properties:
**SG**: F-43m, No. 216
**Calculated total energy**: -0.104 hartree per atom

Cell lengths 5.0357, 5.0357, 5.0357 Å; angles 60.00, 60.00, 60.00 degrees
Last column: magnetic moment on the atom in μB.
Fractional positions:
Ba  0.7500  0.7500  0.7500  0.00
Hg  0.5000  0.5000  0.5000  0.01
Ni  0.0000  0.0000  0.0000  0.15
Ni  0.2500  0.2500  0.2500  0.59


21.
Here is a relaxed structure of TaFeBiIr from OQMD. Energies are from GGA-PBE.

Computed properties:
**SG**: F-43m, No. 216
**Calculated total energy**: -0.293 hartree per atom
**Energy relative to the lowest polymorph listed for this composition**: 0.000 eV/atom

Cell lengths 4.5951, 4.5951, 4.5951 Å; angles 60.00, 60.00, 60.00 degrees
Fractional positions:
Bi  0.0000  0.0000  0.0000
Fe  0.7500  0.7500  0.7500
Ir  0.2500  0.2500  0.2500
Ta  0.5000  0.5000  0.5000


22.
Here is a relaxed structure of HoLuSiGeOs from OQMD. Energies are from GGA-PBE.

Computed properties:
**SG**: C2/m, No. 12
**Calculated total energy**: -0.253 hartree per atom
**Energy relative to the lowest polymorph listed for this composition**: 0.000 eV/atom

Cell lengths 5.6682, 5.6682, 10.0034 Å; angles 115.86, 115.86, 43.51 degrees
Fractional positions:
Ge  0.5137  0.5137  0.3735
Ge  0.4863  0.4863  0.6265
Ho  0.8131  0.8131  0.3836
Ho  0.1869  0.1869  0.6164
Lu  0.0043  0.0043  0.1718
Lu  0.9957  0.9957  0.8282
Os  0.2648  0.2648  0.1242
Os  0.7352  0.7352  0.8758
Si  0.6402  0.6402  0.0592
Si  0.3598  0.3598  0.9408


23.
Here is a relaxed structure of PrCuAu from OQMD. Energies are from GGA-PBE.

Computed properties:
**DFT formation energy**: -0.504 eV per atom
**SG**: Ima2, No. 46
**Calculated total energy**: -0.163 hartree per atom
**Energy relative to the lowest polymorph listed for this composition**: 0.030 eV/atom

Cell lengths 5.8302, 5.8302, 5.8302 Å; angles 133.79, 94.56, 103.21 degrees
Fractional positions:
Au  0.6853  0.0391  0.1462
Au  0.8930  0.5391  0.8538
Cu  0.1389  0.4574  0.1815
Cu  0.2760  0.9574  0.8185
Pr  0.7177  0.7534  0.4642
Pr  0.2892  0.2534  0.5358


24.
Here is a relaxed structure of FeB2 from OQMD. Energies are from GGA-PBE.

Computed properties:
**SG**: Pnma, No. 62
**Calculated total energy**: -0.276 hartree per atom

Cell lengths 4.8097, 4.8000, 3.7350 Å; angles 90.00, 90.00, 90.00 degrees
Fractional positions:
B  0.1612  0.5693  0.1070
B  0.1612  0.9307  0.1070
B  0.6612  0.5693  0.3929
B  0.6612  0.9307  0.3929
B  0.3388  0.0693  0.6070
B  0.3388  0.4307  0.6070
B  0.8388  0.0693  0.8930
B  0.8388  0.4307  0.8930
Fe  0.4802  0.2500  0.1239
Fe  0.9802  0.2500  0.3761
Fe  0.0198  0.7500  0.6239
Fe  0.5198  0.7500  0.8761